The following is a PBE+U calculation of a relaxed Al5Fe3O12 crystal, from Alexandria.

The structure in POSCAR format:
```
Al5Fe3O12
1.0
5.011 -2.889 0.000
5.011 2.889 0.000
-0.054 0.000 14.106
Al Fe O
10 6 24
Direct
0.000 0.500 0.000 Al
0.165 0.165 0.664 Al
0.165 0.671 0.664 Al
0.329 0.835 0.336 Al
0.340 0.340 0.838 Al
0.500 0.000 0.000 Al
0.660 0.660 0.162 Al
0.671 0.165 0.664 Al
0.835 0.329 0.336 Al
0.835 0.835 0.336 Al
0.005 0.005 0.121 Fe
0.329 0.329 0.206 Fe
0.334 0.334 0.453 Fe
0.666 0.666 0.547 Fe
0.671 0.671 0.794 Fe
0.995 0.995 0.879 Fe
0.000 0.000 0.260 O
0.000 0.000 0.740 O
0.040 0.479 0.747 O
0.156 0.638 0.915 O
0.162 0.162 0.400 O
0.162 0.677 0.400 O
0.181 0.181 0.921 O
0.322 0.322 0.076 O
0.323 0.838 0.600 O
0.334 0.334 0.595 O
0.362 0.844 0.085 O
0.479 0.040 0.747 O
0.483 0.483 0.749 O
0.517 0.517 0.251 O
0.521 0.960 0.253 O
0.638 0.156 0.915 O
0.666 0.666 0.405 O
0.677 0.162 0.400 O
0.678 0.678 0.924 O
0.819 0.819 0.079 O
0.838 0.323 0.600 O
0.838 0.838 0.600 O
0.844 0.362 0.085 O
0.960 0.521 0.253 O
```

Summary:
total energy	-285.66	eV for the cell shown
spin magnetization	29.97	μB per cell